A plane-wave DFT calculation with PBE-GGA was carried out for an optimized crystal structure of NpHg2Bi.

```
4
Lattice="4.008 0.000 0.000 0.000 4.008 0.000 0.000 0.000 6.679" Properties=species:S:1:pos:R:3 pbc="T T T"
Np 2.004 2.004 3.339
Bi 2.004 2.004 0.000
Hg 0.000 0.000 5.004
Hg 0.000 0.000 1.675
```

Results
ΔE_f = 0.604 eV per formula unit
final energy = -16.82 eV/cell
energy above the lowest structure with this stoichiometry = 144 meV/atom


A plane-wave DFT calculation with PBE-GGA was carried out for an optimized crystal structure of Np2HgBi.

```
4
Lattice="4.523 0.000 0.000 0.000 4.852 0.000 0.000 0.000 4.852" Properties=species:S:1:pos:R:3 pbc="T T T"
Np 0.000 0.000 2.426
Np 0.000 2.426 0.000
Bi 2.261 2.426 2.426
Hg 2.261 0.000 0.000
```

Results
ΔE_f = 0.656 eV per formula unit
final energy = -29.41 eV/cell


A plane-wave DFT calculation with PBE-GGA was carried out for an optimized crystal structure of NpHg2Bi.

```
4
Lattice="5.343 0.000 0.000 2.672 4.627 0.000 2.672 1.542 4.363" Properties=species:S:1:pos:R:3 pbc="T T T"
Np 0.000 0.000 0.000
Bi 5.343 3.085 2.181
Hg 2.672 1.542 1.091
Hg 8.015 4.627 3.272
```

Results
ΔE_f = 0.603 eV per formula unit
final energy = -16.82 eV/cell
energy above the lowest structure with this stoichiometry = 143 meV/atom


A plane-wave DFT calculation with PBE-GGA was carried out for an optimized crystal structure of NpHg2Bi.

```
4
Lattice="-2.106 -4.218 2.544 -2.068 -4.065 -2.811 2.510 -4.726 -0.117" Properties=species:S:1:pos:R:3 pbc="T T T"
Np -0.830 -6.505 -0.192
Hg 2.507 -4.725 -0.117
Hg -0.415 -3.253 -0.096
Bi -1.248 -9.756 -0.288
```

Results
ΔE_f = 0.694 eV per formula unit
final energy = -16.73 eV/cell
energy above the lowest structure with this stoichiometry = 166 meV/atom


A plane-wave DFT calculation with PBE-GGA was carried out for an optimized crystal structure of NpHg2Bi.

```
4
Lattice="5.124 0.000 0.000 0.000 4.533 0.000 0.000 0.000 4.533" Properties=species:S:1:pos:R:3 pbc="T T T"
Np 2.562 2.267 2.267
Bi 2.562 0.000 0.000
Hg 0.000 0.000 2.267
Hg 0.000 2.267 0.000
```

Results
ΔE_f = 0.030 eV per formula unit
final energy = -17.40 eV/cell
energy above the lowest structure with this stoichiometry = 0 meV/atom


A plane-wave DFT calculation with PBE-GGA was carried out for an optimized crystal structure of Np6Hg4Bi7.

```
17
Lattice="-7.691 2.908 -3.075 2.941 -6.484 -5.136 -1.065 -3.001 8.181" Properties=species:S:1:pos:R:3 pbc="T T T"
Np -6.073 -0.064 3.541
Np -3.294 -2.480 -5.694
Np 0.575 -2.906 0.933
Np -2.683 -0.028 1.565
Np -1.455 -1.096 -2.516
Np 1.301 -6.578 2.112
Hg -3.846 1.454 -1.537
Hg -2.907 -3.288 -0.015
Hg 1.471 -3.242 -2.568
Hg -0.533 -1.501 4.090
Bi -4.564 -1.811 -2.829
Bi -0.249 -5.636 -0.530
Bi -1.906 -4.159 -3.344
Bi -5.566 -0.940 0.500
Bi -1.251 -4.766 2.799
Bi -3.909 -2.418 3.314
Bi 0.000 0.000 0.000
```

Results
ΔE_f = 6.336 eV per formula unit
final energy = -99.68 eV/cell


A plane-wave DFT calculation with PBE-GGA was carried out for an optimized crystal structure of NpHgBi2O6.

```
10
Lattice="6.035 0.000 0.002 3.018 5.226 0.000 3.018 1.742 6.049" Properties=species:S:1:pos:R:3 pbc="T T T"
Np 3.017 1.742 0.086
Hg 9.053 5.226 3.528
Bi 6.034 3.484 2.373
Bi 3.019 1.742 6.038
O 4.744 2.166 1.197
O 5.539 5.260 1.197
O 7.820 3.025 1.197
O 6.381 5.115 4.909
O 7.277 2.369 4.910
O 4.451 2.966 4.909
```

Results
final energy = -67.12 eV/cell
uncorrected formation energy = -1.637 eV/atom


A plane-wave DFT calculation with PBE-GGA was carried out for an optimized crystal structure of NpHgBiO6.

```
18
Lattice="-4.570 2.080 2.714 0.561 -5.632 -0.740 4.884 -0.661 8.729" Properties=species:S:1:pos:R:3 pbc="T T T"
Np -1.639 -0.656 3.745
Np 2.514 -3.557 6.958
Hg 0.072 -3.226 2.594
Hg 0.803 -0.986 8.110
Bi 0.000 0.000 0.000
Bi 2.442 -0.330 4.365
O -2.123 -2.237 2.545
O -3.517 0.110 3.503
O 2.179 -5.112 5.676
O 4.393 -4.322 7.200
O 0.300 -1.261 3.966
O -2.192 -1.838 5.316
O 1.871 -4.605 8.590
O -1.304 0.900 5.027
O 3.067 -2.374 5.387
O -0.996 0.393 2.114
O 0.575 -2.951 6.737
O 2.998 -1.976 8.158
```

Results
final energy = -122.48 eV/cell
uncorrected formation energy = -1.596 eV/atom


A plane-wave DFT calculation with PBE-GGA was carried out for an optimized crystal structure of NpHgBiPd.

```
4
Lattice="5.131 0.000 0.000 2.565 4.443 0.000 2.565 1.481 4.189" Properties=species:S:1:pos:R:3 pbc="T T T"
Np 0.000 0.000 0.000
Bi 5.131 2.962 2.095
Pd 7.696 4.443 3.142
Hg 2.565 1.481 1.047
```

Results
ΔE_f = -0.070 eV per formula unit
final energy = -22.39 eV/cell


A plane-wave DFT calculation with PBE-GGA was carried out for an optimized crystal structure of HgBi3O6.

```
20
Lattice="5.937 0.000 -0.041 0.000 6.495 0.000 0.008 0.000 8.232" Properties=species:S:1:pos:R:3 pbc="T T T"
Hg 2.973 3.248 4.096
Hg 0.000 0.000 0.000
Bi 3.034 6.199 6.273
Bi 2.969 3.248 -0.020
Bi 2.911 0.296 1.918
Bi 0.062 3.543 2.178
Bi 0.004 0.000 4.116
Bi 5.884 2.952 6.013
O 3.763 1.157 7.790
O 4.039 1.068 4.735
O 3.901 2.839 2.051
O 2.044 3.656 6.140
O 1.906 5.427 3.456
O 2.182 5.338 0.401
O 0.791 2.091 3.695
O 1.067 2.179 0.639
O 0.937 0.408 6.187
O 5.009 6.087 2.004
O 4.879 4.316 7.552
O 5.155 4.404 4.496
```

Results
final energy = -101.48 eV/cell
uncorrected formation energy = -0.904 eV/atom


A plane-wave DFT calculation with PBE-GGA was carried out for an optimized crystal structure of Hg2BiO.

```
4
Lattice="-0.168 -4.324 2.497 -3.829 -0.971 3.059 -3.371 -3.472 -1.242" Properties=species:S:1:pos:R:3 pbc="T T T"
Bi -3.684 -4.383 2.157
O 0.000 0.000 0.000
Hg -1.842 -2.192 1.078
Hg -5.526 -6.575 3.235
```

Results
final energy = -7.70 eV/cell
energy above the lowest structure with this stoichiometry = 378 meV/atom
uncorrected formation energy = 0.436 eV/atom


A plane-wave DFT calculation with PBE-GGA was carried out for an optimized crystal structure of HgBiO2.

```
8
Lattice="3.565 0.000 0.000 0.000 7.105 -0.042 0.000 -2.234 6.456" Properties=species:S:1:pos:R:3 pbc="T T T"
Hg 0.891 2.430 -0.004
Hg 2.674 2.441 6.417
Bi 0.891 4.462 3.622
Bi 2.674 0.409 2.791
O 2.674 5.444 2.212
O 0.891 0.737 1.431
O 2.674 4.134 4.983
O 0.891 -0.573 4.201
```

Results
final energy = -34.24 eV/cell
energy above the lowest structure with this stoichiometry = 0 meV/atom
uncorrected formation energy = -0.755 eV/atom


A plane-wave DFT calculation with PBE-GGA was carried out for an optimized crystal structure of HgBiO2.

```
8
Lattice="-2.218 -2.455 4.343 4.988 -0.977 1.995 1.261 3.222 5.897" Properties=species:S:1:pos:R:3 pbc="T T T"
Bi 0.000 0.000 0.000
Bi 0.214 -0.474 6.704
O -0.526 -0.938 4.592
O 3.234 -0.025 3.110
O 1.807 1.164 6.728
O 3.546 -0.621 10.039
Hg 1.385 -1.716 3.169
Hg 3.817 0.265 5.530
```

Results
final energy = -32.55 eV/cell
energy above the lowest structure with this stoichiometry = 211 meV/atom
uncorrected formation energy = -0.544 eV/atom


A plane-wave DFT calculation with PBE-GGA was carried out for an optimized crystal structure of HgBiO3.

```
5
Lattice="4.240 0.000 0.000 0.000 4.240 0.000 0.000 0.000 4.240" Properties=species:S:1:pos:R:3 pbc="T T T"
Bi 0.000 0.000 0.000
O 0.000 2.120 0.000
O 0.000 0.000 2.120
O 2.120 0.000 0.000
Hg 2.120 2.120 2.120
```

Results
final energy = -20.91 eV/cell
uncorrected formation energy = -0.370 eV/atom


A plane-wave DFT calculation with PBE-GGA was carried out for an optimized crystal structure of HgBi2O4.

```
28
Lattice="-1.105 3.313 -1.087 -0.701 -3.879 -11.109 -11.277 -3.166 1.817" Properties=species:S:1:pos:R:3 pbc="T T T"
Hg -1.352 -0.915 -4.492
Hg -7.344 0.256 -0.982
Hg -5.739 -3.988 -9.396
Hg -11.731 -2.816 -5.886
Bi -9.256 -3.009 -2.837
Bi -5.170 -1.944 -3.744
Bi -11.179 -0.864 -0.497
Bi -4.019 1.065 -1.899
Bi -9.064 -4.796 -8.479
Bi -1.904 -2.868 -9.881
Bi -7.914 -1.788 -6.634
Bi -3.827 -0.722 -7.541
O -7.798 -3.174 -4.823
O -2.360 -1.771 -6.076
O -9.495 -0.757 -1.885
O -11.166 -3.211 -1.512
O -6.056 0.159 -2.589
O -3.346 -1.065 -2.922
O -8.836 -3.271 -10.218
O -3.044 -1.769 -11.528
O -10.039 -1.963 1.149
O -4.248 -0.460 -0.161
O -9.737 -2.666 -7.456
O -7.027 -3.890 -7.790
O -1.918 -0.520 -8.867
O -3.589 -2.974 -8.494
O -10.723 -1.960 -4.303
O -5.285 -0.557 -5.556
```

Results
final energy = -136.84 eV/cell
uncorrected formation energy = -0.902 eV/atom


A plane-wave DFT calculation with PBE-GGA was carried out for an optimized crystal structure of Hg3BiO.

```
5
Lattice="-2.750 -0.941 -3.944 3.683 -2.574 -1.954 -1.697 -4.061 2.152" Properties=species:S:1:pos:R:3 pbc="T T T"
Bi -0.382 -3.788 -1.873
O 0.000 0.000 0.000
Hg 1.841 -1.287 -0.977
Hg -0.849 -2.031 1.076
Hg -1.375 -0.470 -1.972
```

Results
final energy = -8.61 eV/cell
energy above the lowest structure with this stoichiometry = 0 meV/atom
uncorrected formation energy = 0.228 eV/atom


A plane-wave DFT calculation with PBE-GGA was carried out for an optimized crystal structure of HgBiO2.

```
8
Lattice="-2.770 -2.244 -0.662 3.639 -5.182 2.378 -2.703 2.050 5.299" Properties=species:S:1:pos:R:3 pbc="T T T"
Hg -0.048 -6.297 1.918
Hg -0.373 -2.320 0.797
Bi 0.443 -4.772 5.184
Bi -2.496 -3.499 3.218
O -2.100 -4.530 5.222
O -3.736 -1.502 1.679
O 0.242 -3.879 3.233
O -1.919 -1.529 4.131
```

Results
final energy = -34.09 eV/cell
energy above the lowest structure with this stoichiometry = 19 meV/atom
uncorrected formation energy = -0.736 eV/atom


A plane-wave DFT calculation with PBE-GGA was carried out for an optimized crystal structure of HgBi2O6.

```
18
Lattice="5.067 0.000 0.000 0.000 5.067 0.000 0.000 0.000 10.526" Properties=species:S:1:pos:R:3 pbc="T T T"
Hg 0.000 0.000 0.000
Hg 2.534 2.534 5.263
Bi 0.000 0.000 3.495
Bi 0.000 0.000 7.031
Bi 2.534 2.534 1.768
Bi 2.534 2.534 8.758
O 1.009 4.058 8.678
O 1.009 4.058 1.848
O 0.939 4.129 5.263
O 1.595 1.595 0.000
O 1.524 1.524 3.415
O 1.524 1.524 7.111
O 3.543 3.543 3.415
O 3.543 3.543 7.111
O 3.472 3.472 0.000
O 4.129 0.939 5.263
O 4.058 1.009 1.848
O 4.058 1.009 8.678
```

Results
final energy = -87.07 eV/cell
uncorrected formation energy = -0.636 eV/atom


A plane-wave DFT calculation with PBE-GGA was carried out for an optimized crystal structure of HgBiO3.

```
5
Lattice="4.206 0.000 0.000 0.000 4.206 0.000 0.000 0.000 4.206" Properties=species:S:1:pos:R:3 pbc="T T T"
Bi 2.103 2.103 2.103
O 0.000 2.103 0.000
O 0.000 0.000 2.103
O 2.103 0.000 0.000
Hg 0.000 0.000 0.000
```

Results
final energy = -19.02 eV/cell
uncorrected formation energy = 0.008 eV/atom


A plane-wave DFT calculation with PBE-GGA was carried out for an optimized crystal structure of Hg3BiO.

```
5
Lattice="-5.820 0.192 0.897 0.643 -3.254 4.870 0.654 4.908 3.194" Properties=species:S:1:pos:R:3 pbc="T T T"
Bi 0.000 0.000 0.000
O -2.262 0.923 4.480
Hg 0.322 -1.627 2.435
Hg 0.327 2.454 1.597
Hg -2.910 0.096 0.449
```

Results
final energy = -6.38 eV/cell
energy above the lowest structure with this stoichiometry = 446 meV/atom
uncorrected formation energy = 0.673 eV/atom